1.
First-principles (PBE) data for a relaxed structure of Er3TmBi2, as listed in Alexandria via LeMat-Bulk.

The structure in CIF format:
```
data_Er3TmBi2
_space_group_name_H-M_alt 'P -4 m 2'
_space_group_IT_number 115
_cell_length_a 4.5200
_cell_length_b 4.5200
_cell_length_c 8.5018
_cell_angle_alpha 90.00
_cell_angle_beta 90.00
_cell_angle_gamma 90.00
loop_
_space_group_symop_operation_xyz
'x,y,z'
'y,-x,-z'
'-x,-y,z'
'-y,x,-z'
'-x,y,z'
'-y,-x,-z'
'x,-y,z'
'y,x,-z'
loop_
_atom_site_label
_atom_site_type_symbol
_atom_site_fract_x
_atom_site_fract_y
_atom_site_fract_z
_atom_site_occupancy
Er1 Er 0.0000 0.0000 0.0000 1
Er2 Er 0.0000 0.5000 0.6576 1
Tm1 Tm 0.5000 0.5000 0.0000 1
Bi1 Bi 0.0000 0.5000 0.2862 1
```

Properties
- magnetization (μB per formula unit) = 0.00
- DOS at the Fermi energy (states/eV per atom) = 0.818
- polymorph energy (0 for the lowest one) (meV/atom) = 0
- DFT formation energy (eV/f.u.) = -3.32

2.
First-principles (PBE) data for a relaxed structure of ErTm4Bi, as listed in Alexandria via LeMat-Bulk.

The structure in CIF format:
```
data_ErTm4Bi
_space_group_name_H-M_alt 'P 4/m m m'
_space_group_IT_number 123
_space_group_name_Hall '-P 4 2'
_cell_length_a 5.1273
_cell_length_b 5.1273
_cell_length_c 7.7970
_cell_angle_alpha 90.00
_cell_angle_beta 90.00
_cell_angle_gamma 90.00
loop_
_atom_site_label
_atom_site_type_symbol
_atom_site_fract_x
_atom_site_fract_y
_atom_site_fract_z
_atom_site_occupancy
Er1 Er 0.0000 0.0000 0.0000 1
Tm1 Tm 0.0000 0.5000 0.2410 1
Bi1 Bi 0.5000 0.5000 0.5000 1
```

Properties
- magnetization (μB per formula unit) = 0.00
- DOS at the Fermi energy (states/eV per atom) = 1.084
- DFT formation energy (eV/f.u.) = 1.44

3.
First-principles (PBE) data for a relaxed structure of ErTm3Bi2, as listed in Alexandria via LeMat-Bulk.

The structure in CIF format:
```
data_ErTm3Bi2
_space_group_name_H-M_alt 'P -4 m 2'
_space_group_IT_number 115
_cell_length_a 4.5214
_cell_length_b 4.5214
_cell_length_c 8.4642
_cell_angle_alpha 90.00
_cell_angle_beta 90.00
_cell_angle_gamma 90.00
loop_
_space_group_symop_operation_xyz
'x,y,z'
'y,-x,-z'
'-x,-y,z'
'-y,x,-z'
'-x,y,z'
'-y,-x,-z'
'x,-y,z'
'y,x,-z'
loop_
_atom_site_label
_atom_site_type_symbol
_atom_site_fract_x
_atom_site_fract_y
_atom_site_fract_z
_atom_site_occupancy
Er1 Er 0.0000 0.0000 0.0000 1
Tm1 Tm 0.0000 0.5000 0.3403 1
Tm2 Tm 0.5000 0.5000 0.0000 1
Bi1 Bi 0.0000 0.5000 0.7120 1
```

Properties
- magnetization (μB per formula unit) = 0.00
- DOS at the Fermi energy (states/eV per atom) = 0.819
- polymorph energy (0 for the lowest one) (meV/atom) = 0
- DFT formation energy (eV/f.u.) = -3.22

4.
First-principles (PBE) data for a relaxed structure of Er8TmBi6, as listed in Alexandria via LeMat-Bulk.

The structure in CIF format:
```
data_Er8TmBi6
_space_group_name_H-M_alt 'R -3'
_space_group_IT_number 148
_space_group_name_Hall '-R 3'
_cell_length_a 7.5558
_cell_length_b 7.5558
_cell_length_c 29.4560
_cell_angle_alpha 90.00
_cell_angle_beta 90.00
_cell_angle_gamma 120.00
loop_
_atom_site_label
_atom_site_type_symbol
_atom_site_fract_x
_atom_site_fract_y
_atom_site_fract_z
_atom_site_occupancy
Er1 Er 0.0000 0.0000 0.1667 1
Er2 Er 0.9996 0.3342 0.6218 1
Tm1 Tm 0.0000 0.0000 0.5000 1
Bi1 Bi 0.9997 0.3323 0.4380 1
```

Properties
- magnetization (μB per formula unit) = 0.00
- DOS at the Fermi energy (states/eV per atom) = 0.631
- DFT formation energy (eV/f.u.) = -6.97

5.
First-principles (PBE) data for a relaxed structure of ErTm5Bi4, as listed in Alexandria via LeMat-Bulk.

The structure in CIF format:
```
data_ErTm5Bi4
_space_group_name_H-M_alt 'C 1 2/m 1'
_space_group_IT_number 12
_cell_length_a 19.7178
_cell_length_b 4.3494
_cell_length_c 7.5884
_cell_angle_alpha 90.00
_cell_angle_beta 101.11
_cell_angle_gamma 90.00
loop_
_space_group_symop_operation_xyz
'x,y,z'
'-x,-y,-z'
'-x,y,-z'
'x,-y,z'
'x+1/2,y+1/2,z'
'-x+1/2,-y+1/2,-z'
'-x+1/2,y+1/2,-z'
'x+1/2,-y+1/2,z'
loop_
_atom_site_label
_atom_site_type_symbol
_atom_site_fract_x
_atom_site_fract_y
_atom_site_fract_z
_atom_site_occupancy
Er1 Er 0.0000 0.0000 0.0000 1
Tm1 Tm 0.0000 0.0000 0.5000 1
Tm2 Tm 0.1891 0.5000 0.0861 1
Tm3 Tm 0.1974 0.5000 0.6133 1
Bi1 Bi 0.0628 0.5000 0.7790 1
Bi2 Bi 0.1337 0.0000 0.3246 1
```

Properties
- magnetization (μB per formula unit) = 1.65
- DOS at the Fermi energy (states/eV per atom) = 0.804
- DFT formation energy (eV/f.u.) = -5.10

6.
First-principles (PBE) data for a relaxed structure of ErTm5Bi6, as listed in Alexandria via LeMat-Bulk.

The structure in CIF format:
```
data_ErTm5Bi6
_space_group_name_H-M_alt 'C 1 2/m 1'
_space_group_IT_number 12
_cell_length_a 7.6801
_cell_length_b 13.2991
_cell_length_c 7.6771
_cell_angle_alpha 90.00
_cell_angle_beta 109.47
_cell_angle_gamma 90.00
loop_
_space_group_symop_operation_xyz
'x,y,z'
'-x,-y,-z'
'-x,y,-z'
'x,-y,z'
'x+1/2,y+1/2,z'
'-x+1/2,-y+1/2,-z'
'-x+1/2,y+1/2,-z'
'x+1/2,-y+1/2,z'
loop_
_atom_site_label
_atom_site_type_symbol
_atom_site_fract_x
_atom_site_fract_y
_atom_site_fract_z
_atom_site_occupancy
Er1 Er 0.0000 0.0000 0.0000 1
Tm1 Tm 0.0000 0.1663 0.5000 1
Tm2 Tm 0.0000 0.3332 0.0000 1
Tm3 Tm 0.0000 0.5000 0.5000 1
Bi1 Bi 0.2495 0.3330 0.7495 1
Bi2 Bi 0.2493 0.5000 0.2501 1
```

Properties
- magnetization (μB per formula unit) = 0.00
- DOS at the Fermi energy (states/eV per atom) = 0.172
- DFT formation energy (eV/f.u.) = -9.45

7.
First-principles (PBE) data for a relaxed structure of Er4TmBi, as listed in Alexandria via LeMat-Bulk.

The structure in CIF format:
```
data_Er4TmBi
_space_group_name_H-M_alt 'P 4/m m m'
_space_group_IT_number 123
_space_group_name_Hall '-P 4 2'
_cell_length_a 5.1492
_cell_length_b 5.1492
_cell_length_c 7.7788
_cell_angle_alpha 90.00
_cell_angle_beta 90.00
_cell_angle_gamma 90.00
loop_
_atom_site_label
_atom_site_type_symbol
_atom_site_fract_x
_atom_site_fract_y
_atom_site_fract_z
_atom_site_occupancy
Er1 Er 0.0000 0.5000 0.2407 1
Tm1 Tm 0.0000 0.0000 0.0000 1
Bi1 Bi 0.5000 0.5000 0.5000 1
```

Properties
- magnetization (μB per formula unit) = 0.00
- DOS at the Fermi energy (states/eV per atom) = 1.187
- DFT formation energy (eV/f.u.) = 1.37

8.
First-principles (PBE) data for a relaxed structure of Er4TmBi5, as listed in Alexandria via LeMat-Bulk.

The structure in CIF format:
```
data_Er4TmBi5
_space_group_name_H-M_alt 'I m m m'
_space_group_IT_number 71
_space_group_name_Hall '-I 2 2'
_cell_length_a 4.4413
_cell_length_b 6.2769
_cell_length_c 22.1961
_cell_angle_alpha 90.00
_cell_angle_beta 90.00
_cell_angle_gamma 90.00
loop_
_atom_site_label
_atom_site_type_symbol
_atom_site_fract_x
_atom_site_fract_y
_atom_site_fract_z
_atom_site_occupancy
Er1 Er 0.0000 0.0000 0.1000 1
Er2 Er 0.0000 0.0000 0.3001 1
Tm1 Tm 0.0000 0.0000 0.5000 1
Bi1 Bi 0.0000 0.5000 0.0996 1
Bi2 Bi 0.0000 0.5000 0.3000 1
Bi3 Bi 0.0000 0.5000 0.5000 1
```

Properties
- magnetization (μB per formula unit) = 0.00
- DOS at the Fermi energy (states/eV per atom) = 0.194
- DFT formation energy (eV/f.u.) = -8.07

9.
First-principles (PBE) data for a relaxed structure of Er7Tm12Bi, as listed in Alexandria via LeMat-Bulk.

The structure in CIF format:
```
data_Er7Tm12Bi
_space_group_name_H-M_alt 'R -3'
_space_group_IT_number 148
_space_group_name_Hall '-R 3'
_cell_length_a 11.8075
_cell_length_b 11.8075
_cell_length_c 15.3861
_cell_angle_alpha 90.00
_cell_angle_beta 90.00
_cell_angle_gamma 120.00
loop_
_atom_site_label
_atom_site_type_symbol
_atom_site_fract_x
_atom_site_fract_y
_atom_site_fract_z
_atom_site_occupancy
Er1 Er 0.0000 0.0000 0.0000 1
Er2 Er 0.0546 0.1883 0.2970 1
Tm1 Tm 0.0281 0.4515 0.2126 1
Tm2 Tm 0.0547 0.5856 0.5860 1
Bi1 Bi 0.0000 0.0000 0.5000 1
```

Properties
- magnetization (μB per formula unit) = 0.00
- DOS at the Fermi energy (states/eV per atom) = 1.785
- DFT formation energy (eV/f.u.) = 2.78

10.
First-principles (PBE) data for a relaxed structure of ErTm3Bi, as listed in Alexandria via LeMat-Bulk.

The structure in CIF format:
```
data_ErTm3Bi
_space_group_name_H-M_alt 'I m a 2'
_space_group_IT_number 46
_cell_length_a 11.4561
_cell_length_b 8.5746
_cell_length_c 6.6658
_cell_angle_alpha 90.00
_cell_angle_beta 90.00
_cell_angle_gamma 90.00
loop_
_space_group_symop_operation_xyz
'x,y,z'
'-x,-y,z'
'-x+1/2,y,z'
'x+1/2,-y,z'
'x+1/2,y+1/2,z+1/2'
'-x+1/2,-y+1/2,z+1/2'
'-x,y+1/2,z+1/2'
'x,-y+1/2,z+1/2'
loop_
_atom_site_label
_atom_site_type_symbol
_atom_site_fract_x
_atom_site_fract_y
_atom_site_fract_z
_atom_site_occupancy
Er1 Er 0.2500 0.2428 0.0000 1
Tm1 Tm 0.0287 0.7095 0.5011 1
Tm2 Tm 0.2500 0.5742 0.2464 1
Bi1 Bi 0.2500 0.5639 0.7642 1
```

Properties
- magnetization (μB per formula unit) = 0.00
- DOS at the Fermi energy (states/eV per atom) = 1.172
- DFT formation energy (eV/f.u.) = 0.90

11.
First-principles (PBE) data for a relaxed structure of Er3TmBi2, as listed in Alexandria via LeMat-Bulk.

The structure in CIF format:
```
data_Er3TmBi2
_space_group_name_H-M_alt 'C 1 2/m 1'
_space_group_IT_number 12
_cell_length_a 18.3021
_cell_length_b 4.2630
_cell_length_c 9.9967
_cell_angle_alpha 90.00
_cell_angle_beta 113.55
_cell_angle_gamma 90.00
loop_
_space_group_symop_operation_xyz
'x,y,z'
'-x,-y,-z'
'-x,y,-z'
'x,-y,z'
'x+1/2,y+1/2,z'
'-x+1/2,-y+1/2,-z'
'-x+1/2,y+1/2,-z'
'x+1/2,-y+1/2,z'
loop_
_atom_site_label
_atom_site_type_symbol
_atom_site_fract_x
_atom_site_fract_y
_atom_site_fract_z
_atom_site_occupancy
Er1 Er 0.0551 0.0000 0.1686 1
Er2 Er 0.1391 0.5000 0.9804 1
Er3 Er 0.1881 0.5000 0.3908 1
Tm1 Tm 0.1098 0.0000 0.6022 1
Bi1 Bi 0.0062 0.5000 0.3407 1
Bi2 Bi 0.2464 0.5000 0.7818 1
```

Properties
- magnetization (μB per formula unit) = 0.00
- DOS at the Fermi energy (states/eV per atom) = 0.982
- polymorph energy (0 for the lowest one) (meV/atom) = 121
- DFT formation energy (eV/f.u.) = -2.60

12.
First-principles (PBE) data for a relaxed structure of ErTm3Bi2, as listed in Alexandria via LeMat-Bulk.

The structure in CIF format:
```
data_ErTm3Bi2
_space_group_name_H-M_alt 'C 1 2/m 1'
_space_group_IT_number 12
_cell_length_a 18.2960
_cell_length_b 4.2587
_cell_length_c 9.9596
_cell_angle_alpha 90.00
_cell_angle_beta 113.44
_cell_angle_gamma 90.00
loop_
_space_group_symop_operation_xyz
'x,y,z'
'-x,-y,-z'
'-x,y,-z'
'x,-y,z'
'x+1/2,y+1/2,z'
'-x+1/2,-y+1/2,-z'
'-x+1/2,y+1/2,-z'
'x+1/2,-y+1/2,z'
loop_
_atom_site_label
_atom_site_type_symbol
_atom_site_fract_x
_atom_site_fract_y
_atom_site_fract_z
_atom_site_occupancy
Er1 Er 0.1103 0.0000 0.1043 1
Tm1 Tm 0.0554 0.0000 0.6687 1
Tm2 Tm 0.1378 0.5000 0.4809 1
Tm3 Tm 0.1884 0.5000 0.8902 1
Bi1 Bi 0.0071 0.5000 0.8410 1
Bi2 Bi 0.2468 0.5000 0.2839 1
```

Properties
- magnetization (μB per formula unit) = 0.00
- DOS at the Fermi energy (states/eV per atom) = 0.935
- polymorph energy (0 for the lowest one) (meV/atom) = 107
- DFT formation energy (eV/f.u.) = -2.57